# 1
{"formula": "P2SeCl", "functional": "PBE", "state": "optimized geometry", "lattice": [[-3.330, 0.020, 3.537], [1.441, -2.829, -3.678], [5.322, -3.831, 5.032]], "species": ["Cl", "Se", "P", "P"], "frac_coords": [[0.500, 0.500, 0.833], [0.000, 0.000, 0.412], [0.500, 0.500, 0.216], [0.000, 0.000, 0.038]], "de_polymorph_ev_per_atom": 0.356, "crystal_system": "orthorhombic", "dft_energy_ev_per_atom": -3.764, "e_form_raw_ev_per_atom": 0.274}

---

# 2
{"formula": "P2SeCl", "functional": "PBE", "state": "optimized geometry", "lattice": [[-3.348, -1.728, 0.825], [1.374, -2.259, 0.844], [-1.122, 4.981, 5.879]], "species": ["P", "P", "Cl", "Se"], "frac_coords": [[0.000, 0.497, 0.497], [0.000, 0.003, 0.003], [0.500, 0.750, 0.750], [0.500, 0.250, 0.250]], "de_polymorph_ev_per_atom": 0.529, "crystal_system": "monoclinic", "dft_energy_ev_per_atom": -3.591, "e_form_raw_ev_per_atom": 0.447}

---

# 3
{"formula": "P2SeCl", "functional": "PBE", "state": "optimized geometry", "lattice": [[4.608, 0.000, 0.000], [2.304, 3.991, 0.000], [2.304, 1.330, 3.763]], "species": ["P", "P", "Se", "Cl"], "frac_coords": [[0.000, 0.000, 0.000], [0.250, 0.250, 0.250], [0.750, 0.750, 0.750], [0.500, 0.500, 0.500]], "de_polymorph_ev_per_atom": 0.875, "crystal_system": "cubic", "dft_energy_ev_per_atom": -3.246, "e_form_raw_ev_per_atom": 0.792}

---

# 4
{"formula": "PSe2Cl", "functional": "PBE", "state": "optimized geometry", "lattice": [[-5.571, 4.834, 4.205], [0.914, -5.565, -6.347], [-0.450, -1.950, 1.645]], "species": ["Se", "Se", "Cl", "P"], "frac_coords": [[0.500, 0.500, 0.000], [0.000, 0.000, 0.000], [0.500, 0.000, 0.500], [0.000, 0.500, 0.500]], "de_polymorph_ev_per_atom": 0.646, "crystal_system": "orthorhombic", "dft_energy_ev_per_atom": -3.110, "e_form_raw_ev_per_atom": 0.447}

---

# 5
{"formula": "PSeCl2", "functional": "PBE", "state": "optimized geometry", "lattice": [[-1.350, -0.639, 4.479], [2.070, -4.243, 0.011], [2.487, 3.832, -1.188]], "species": ["Cl", "Cl", "P", "Se"], "frac_coords": [[0.750, 0.250, 0.500], [0.000, 0.000, 0.000], [0.500, 0.500, 0.000], [0.250, 0.750, 0.500]], "de_polymorph_ev_per_atom": 0.775, "crystal_system": "tetragonal", "dft_energy_ev_per_atom": -2.587, "e_form_raw_ev_per_atom": 0.560}

---

# 6
{"formula": "PSe6Cl2", "functional": "PBE", "state": "optimized geometry", "lattice": [[-4.350, 1.676, 7.801], [3.760, -1.025, 2.317], [5.897, 12.056, 0.699]], "species": ["Se", "Se", "Se", "Se", "Se", "Se", "Se", "Se", "Se", "Se", "Se", "Se", "Cl", "Cl", "Cl", "Cl", "P", "P"], "frac_coords": [[0.115, 0.667, 0.357], [0.125, 0.531, 0.641], [0.385, 0.167, 0.857], [0.885, 0.333, 0.643], [0.875, 0.469, 0.359], [0.375, 0.031, 0.141], [0.277, 0.835, 0.000], [0.625, 0.969, 0.859], [0.615, 0.833, 0.143], [0.223, 0.335, 0.500], [0.723, 0.165, 0.000], [0.777, 0.665, 0.500], [0.477, 0.784, 0.627], [0.523, 0.216, 0.373], [0.977, 0.716, 0.873], [0.023, 0.284, 0.127], [0.000, 0.000, 0.000], [0.500, 0.500, 0.500]], "crystal_system": "monoclinic", "dft_energy_ev_per_atom": -3.339, "e_form_raw_ev_per_atom": -0.004}

---

# 7
{"formula": "PSe2Cl", "functional": "PBE", "state": "optimized geometry", "lattice": [[5.027, 0.000, 0.000], [0.000, 6.081, 0.623], [0.000, 0.948, 15.428]], "species": ["P", "P", "P", "P", "Se", "Se", "Se", "Se", "Se", "Se", "Se", "Se", "Cl", "Cl", "Cl", "Cl"], "frac_coords": [[0.552, 0.273, 0.944], [0.052, 0.227, 0.556], [0.448, 0.727, 0.056], [0.948, 0.773, 0.444], [0.631, 0.942, 0.903], [0.637, 0.862, 0.546], [0.363, 0.138, 0.454], [0.369, 0.058, 0.097], [0.137, 0.638, 0.954], [0.131, 0.558, 0.597], [0.869, 0.442, 0.403], [0.863, 0.362, 0.046], [0.784, 0.960, 0.322], [0.284, 0.540, 0.178], [0.716, 0.460, 0.822], [0.216, 0.040, 0.678]], "de_polymorph_ev_per_atom": 0.117, "crystal_system": "monoclinic", "dft_energy_ev_per_atom": -3.638, "e_form_raw_ev_per_atom": -0.082}

---

# 8
{"formula": "PSe2Cl", "functional": "PBE", "state": "optimized geometry", "lattice": [[3.355, 0.000, 0.000], [0.000, 2.736, -0.003], [0.000, -1.539, 10.672]], "species": ["Se", "Se", "P", "Cl"], "frac_coords": [[0.500, 0.067, 0.214], [0.000, 0.906, 0.930], [0.500, 0.813, 0.766], [0.000, 0.714, 0.590]], "de_polymorph_ev_per_atom": 0.414, "crystal_system": "monoclinic", "dft_energy_ev_per_atom": -3.341, "e_form_raw_ev_per_atom": 0.215}

---

# 9
{"formula": "PSeCl2", "functional": "PBE", "state": "optimized geometry", "lattice": [[2.976, 0.000, 0.000], [0.000, 2.976, 0.000], [0.000, 0.000, 10.631]], "species": ["Cl", "Cl", "P", "Se"], "frac_coords": [[0.000, 0.000, 0.404], [0.000, 0.000, 0.096], [0.500, 0.500, 0.250], [0.500, 0.500, 0.750]], "de_polymorph_ev_per_atom": 0.737, "crystal_system": "tetragonal", "dft_energy_ev_per_atom": -2.625, "e_form_raw_ev_per_atom": 0.522}

---

# 10
{"formula": "PSe2Cl", "functional": "PBE", "state": "optimized geometry", "lattice": [[3.614, 0.009, -0.013], [1.816, 3.124, -0.013], [0.238, 0.137, 7.619]], "species": ["Se", "Se", "P", "Cl"], "frac_coords": [[0.932, 0.932, 0.053], [0.568, 0.568, 0.447], [0.250, 0.250, 0.250], [0.750, 0.750, 0.750]], "de_polymorph_ev_per_atom": 0.276, "crystal_system": "monoclinic", "dft_energy_ev_per_atom": -3.479, "e_form_raw_ev_per_atom": 0.077}

---

# 11
{"formula": "PSeCl2", "functional": "PBE", "state": "optimized geometry", "lattice": [[-0.791, 0.891, 4.095], [2.006, -3.579, 1.166], [3.639, 2.118, 0.242]], "species": ["P", "Cl", "Cl", "Se"], "frac_coords": [[0.500, 0.000, 0.500], [0.500, 0.500, 0.000], [0.000, 0.000, 0.000], [0.000, 0.500, 0.500]], "de_polymorph_ev_per_atom": 1.025, "crystal_system": "tetragonal", "dft_energy_ev_per_atom": -2.337, "e_form_raw_ev_per_atom": 0.810}

---

# 12
{"formula": "P2SeCl", "functional": "PBE", "state": "optimized geometry", "lattice": [[3.391, 0.000, 0.000], [0.000, 4.564, 0.000], [0.000, 0.000, 4.564]], "species": ["P", "P", "Cl", "Se"], "frac_coords": [[0.000, 0.500, 0.500], [0.000, 0.000, 0.000], [0.500, 0.000, 0.500], [0.500, 0.500, 0.000]], "de_polymorph_ev_per_atom": 0.936, "crystal_system": "tetragonal", "dft_energy_ev_per_atom": -3.184, "e_form_raw_ev_per_atom": 0.853}

---

# 13
{"formula": "PSeCl2", "functional": "PBE", "state": "optimized geometry", "lattice": [[3.262, 0.000, 0.000], [0.000, 7.075, 0.378], [0.000, 5.026, 4.991]], "species": ["Cl", "Cl", "Se", "P"], "frac_coords": [[0.000, 0.119, 0.119], [0.000, 0.381, 0.381], [0.500, 0.750, 0.750], [0.500, 0.250, 0.250]], "de_polymorph_ev_per_atom": 0.182, "crystal_system": "orthorhombic", "dft_energy_ev_per_atom": -3.179, "e_form_raw_ev_per_atom": -0.032}

---

no.,size of the total moment (Bohr magnetons per cell)
1,0.00
2,0.00
3,0.00
4,0.20
5,0.00
6,0.00
7,0.00
8,0.00
9,0.00
10,0.00
11,0.00
12,0.00
13,0.00